A geometry-optimized CoRuPb2O6 structure. Source: Alexandria, functional PBE+U.

Calculated values
**Mass density**: 8.674 g/cm³
**Energy**: -60.73 eV/cell

abc: 5.7676 5.7676 3.8580
angles: 90.00 90.00 90.00
Space group P4mm (No. 99)
Unique sites:
Co  0.0000  0.0000  0.0000 (multiplicity 1)
Ru  0.5000  0.5000  0.0428 (multiplicity 1)
Pb  0.0000  0.5000  0.4575 (multiplicity 2)
O  0.0000  0.0000  0.5351 (multiplicity 1)
O  0.2565  0.2565  0.0658 (multiplicity 4)
O  0.5000  0.5000  0.5482 (multiplicity 1)